No. 1
A relaxed structure of Rb3TiRh. Source: Alexandria, functional PBE.

a = 6.275 Å, b = 6.275 Å, c = 6.275 Å
α = 90.00°, β = 90.00°, γ = 90.00°
Site moments in Bohr magnetons follow the coordinates.
Sites, in units of the cell vectors:
Rh  0.000  0.000  0.000  -0.07
Rb  0.500  0.000  0.000  0.00
Rb  0.000  0.500  0.000  0.00
Rb  0.000  0.000  0.500  0.01
Ti  0.500  0.500  0.500  2.02

Calculated values
The calculation puts the calculated formation energy at 1.2408 eV/atom. The value obtained for the uncorrected energy is -2.3890 eV/atom. For the volume, the calculation gives 247 Å³/cell. As for the space-group type: Pm-3m (221).

No. 2
A relaxed structure of Li3U3TaN8. Source: Alexandria, functional PBE.

a = 6.760 Å, b = 6.759 Å, c = 6.385 Å
α = 121.97°, β = 90.00°, γ = 120.00°
Site moments in Bohr magnetons follow the coordinates.
Sites, in units of the cell vectors:
Ta  0.000  0.000  0.500  0.06
N  0.773  0.026  0.299  -0.03
N  0.747  0.974  0.701  -0.03
N  0.253  0.026  0.299  -0.03
N  0.227  0.454  0.701  -0.03
N  0.262  0.523  0.285  -0.04
N  0.738  0.477  0.715  -0.04
N  0.227  0.974  0.701  -0.03
N  0.773  0.546  0.299  -0.03
Li  0.500  0.500  0.000  0.00
Li  0.000  0.000  0.000  0.00
Li  0.000  0.500  0.000  0.00
U  0.000  0.500  0.500  0.73
U  0.500  0.000  0.500  0.73
U  0.500  0.500  0.500  0.73

Calculated values
Its uncorrected formation energy is -101.08 kJ/mol of atoms. The value obtained for the uncorrected energy is -8.9184 eV/atom. For the volume, the calculation gives 200 Å³/cell. As for the space-group type: R-3m (166).

| no. | size of the total moment (μB per cell) | density (g/cm3) |
| --- | --- | --- |
| 1 | 2.61 | 2.74 |
| 2 | 2.09 | 8.54 |